A geometry-optimized Hf2PtRh structure, computed with GGA-PBE.

Cell lengths 5.952, 5.952, 7.249 Å; angles 65.76, 65.76, 90.00 degrees
Fractional positions:
Hf (0.616, 0.125, 0.250)
Hf (0.375, 0.384, 0.750)
Hf (0.875, 0.866, 0.750)
Hf (0.134, 0.625, 0.250)
Rh (0.250, 0.750, 0.500)
Rh (0.500, 0.500, 0.000)
Pt (0.000, 0.000, 0.000)
Pt (0.750, 0.250, 0.500)

Calculated values
The formation enthalpy at 0 K comes out at -0.03 eV/atom. Its space group is I-42d (122). The value obtained for the size of the total moment is 0.0000 μB per atom.

---

A geometry-optimized TcOsRh2 structure, computed with GGA-PBE.

Cell lengths 3.296, 3.296, 5.403 Å; angles 90.00, 90.00, 90.00 degrees
Site moments in Bohr magnetons follow the coordinates.
Fractional positions:
Rh (0.000, 0.000, 0.500)  0.03
Rh (0.000, 0.000, 0.000)  0.03
Os (0.500, 0.500, 0.750)  -0.10
Tc (0.500, 0.500, 0.250)  0.27

Calculated values
The formation enthalpy at 0 K comes out at 0.41 eV/atom. Its space group is P4/mmm (123). The value obtained for the size of the total moment is 0.0651 μB per atom.

---

A geometry-optimized CoReGe2Rh structure, computed with GGA-PBE.

Cell lengths 4.718, 4.497, 4.718 Å; angles 90.00, 90.00, 90.00 degrees
Site moments in Bohr magnetons follow the coordinates.
Fractional positions:
Ge (0.000, 0.000, 0.500)  0.02
Ge (0.500, 0.000, 0.000)  0.02
Co (0.000, 0.500, 0.000)  1.16
Rh (0.500, 0.500, 0.500)  0.41
Re (0.000, 0.000, 0.000)  0.07

Calculated values
The formation enthalpy at 0 K comes out at 1.12 eV/atom. Its space group is P4/mmm (123). The value obtained for the size of the total moment is 0.3372 μB per atom.

---

A geometry-optimized Ac5CoPd2Au structure, computed with GGA-PBE.

Cell lengths 4.444, 9.644, 13.674 Å; angles 90.00, 90.00, 103.32 degrees
Fractional positions:
Ac (0.567, 0.135, 0.273)
Ac (0.101, 0.203, 0.005)
Ac (0.433, 0.865, 0.773)
Ac (0.210, 0.421, 0.712)
Ac (0.774, 0.548, 0.934)
Ac (0.790, 0.579, 0.212)
Ac (0.424, 0.848, 0.070)
Ac (0.576, 0.152, 0.570)
Ac (0.226, 0.452, 0.434)
Ac (0.899, 0.797, 0.505)
Au (0.392, 0.784, 0.333)
Au (0.608, 0.216, 0.833)
Pd (0.040, 0.081, 0.718)
Pd (0.960, 0.919, 0.218)
Pd (0.175, 0.350, 0.212)
Pd (0.825, 0.650, 0.712)
Co (0.731, 0.462, 0.566)
Co (0.269, 0.538, 0.066)

Calculated values
The formation enthalpy at 0 K comes out at -0.46 eV/atom. Its space group is Cmc2_1 (36). The value obtained for the size of the total moment is 0.0000 μB per atom.

---

A geometry-optimized La3Si2NiPt9 structure, computed with GGA-PBE.

Cell lengths 6.394, 6.394, 8.830 Å; angles 90.00, 90.00, 120.00 degrees
Fractional positions:
Pt (0.856, 0.713, 0.715)
Pt (0.856, 0.144, 0.715)
Pt (0.287, 0.144, 0.715)
Pt (0.500, 0.000, 0.000)
Pt (0.000, 0.500, 0.000)
Pt (0.144, 0.287, 0.285)
Pt (0.144, 0.856, 0.285)
Pt (0.713, 0.856, 0.285)
Pt (0.500, 0.500, 0.000)
La (0.000, 0.000, 0.000)
La (0.333, 0.667, 0.668)
La (0.667, 0.333, 0.332)
Ni (0.000, 0.000, 0.500)
Si (0.333, 0.667, 0.184)
Si (0.667, 0.333, 0.816)

Calculated values
Its space group is P-3m1 (164). The value obtained for the size of the total moment is 0.0000 μB per atom. As for the raw formation energy: -732 meV per atom.

---

A geometry-optimized ScAlSCl2 structure, computed with GGA-PBE.

Cell lengths 4.717, 4.717, 4.813 Å; angles 90.00, 90.00, 90.00 degrees
Site moments in Bohr magnetons follow the coordinates.
Fractional positions:
Cl (0.000, 0.500, 0.000)  0.00
Cl (0.500, 0.000, 0.000)  0.00
S (0.000, 0.000, 0.500)  -0.02
Al (0.000, 0.000, 0.000)  0.00
Sc (0.500, 0.500, 0.500)  0.98

Calculated values
Its space group is P4/mmm (123). The value obtained for the size of the total moment is 0.2604 μB per atom. As for the raw formation energy: -666 meV per atom.

---

A geometry-optimized YTmTe structure, computed with GGA-PBE.

Cell lengths 6.305, 7.287, 7.289 Å; angles 86.42, 90.00, 90.00 degrees
Fractional positions:
Tm (0.624, 0.426, 0.826)
Tm (0.124, 0.574, 0.674)
Tm (0.376, 0.574, 0.174)
Tm (0.876, 0.426, 0.326)
Y (0.125, 0.921, 0.327)
Y (0.375, 0.921, 0.827)
Y (0.625, 0.079, 0.173)
Y (0.875, 0.079, 0.673)
Te (0.125, 0.250, 0.003)
Te (0.625, 0.750, 0.497)
Te (0.375, 0.250, 0.503)
Te (0.875, 0.750, 0.997)

Calculated values
Its space group is P2_1/c (14). The value obtained for the size of the total moment is 0.0000 μB per atom. As for the raw formation energy: -779 meV per atom.

---

A geometry-optimized Na4PuNp3S8 structure, computed with GGA-PBE.

Cell lengths 8.047, 8.098, 8.047 Å; angles 119.82, 120.00, 90.00 degrees
Site moments in Bohr magnetons follow the coordinates.
Fractional positions:
S (0.756, 0.274, 0.017)  -0.09
S (0.244, 0.726, 0.983)  -0.09
S (0.244, 0.726, 0.487)  -0.09
S (0.261, 0.274, 0.017)  -0.09
S (0.739, 0.726, 0.983)  -0.09
S (0.742, 0.726, 0.484)  -0.08
S (0.756, 0.274, 0.513)  -0.09
S (0.258, 0.274, 0.516)  -0.08
Na (0.500, 0.000, 0.000)  0.00
Na (0.000, 0.000, 0.000)  0.00
Na (0.000, 0.000, 0.500)  0.00
Na (0.500, 0.000, 0.500)  0.00
Np (0.500, 0.500, 0.500)  3.84
Np (0.000, 0.500, 0.500)  3.84
Np (0.500, 0.500, 0.000)  3.84
Pu (0.000, 0.500, 0.000)  5.20

Calculated values
Its space group is R-3m (166). The value obtained for the size of the total moment is 1.0625 μB per atom. As for the raw formation energy: -1419 meV per atom.

---

A geometry-optimized BaTi2F structure, computed with GGA-PBE.

Cell lengths 4.817, 4.817, 4.817 Å; angles 60.00, 60.00, 60.00 degrees
Site moments in Bohr magnetons follow the coordinates.
Fractional positions:
Ti (0.250, 0.250, 0.250)  0.69
Ti (0.750, 0.750, 0.750)  0.69
Ba (0.500, 0.500, 0.500)  0.29
F (0.000, 0.000, 0.000)  0.03

Calculated values
Its space group is Fm-3m (225). The value obtained for the size of the total moment is 0.5230 μB per atom. As for the raw formation energy: 603 meV per atom.

---

A geometry-optimized Na3HoTi2Nb2O12 structure, computed with GGA-PBE.

Cell lengths 5.451, 5.609, 7.758 Å; angles 90.00, 89.90, 89.01 degrees
Fractional positions:
Na (0.511, 0.460, 0.251)
Na (0.498, 0.526, 0.748)
Na (0.990, 0.996, 0.753)
O (0.400, 0.035, 0.247)
O (0.198, 0.810, 0.521)
O (0.076, 0.534, 0.252)
O (0.809, 0.206, 0.053)
O (0.717, 0.735, 0.052)
O (0.561, 0.984, 0.753)
O (0.925, 0.497, 0.747)
O (0.203, 0.808, 0.980)
O (0.720, 0.734, 0.447)
O (0.304, 0.303, 0.961)
O (0.298, 0.310, 0.535)
O (0.809, 0.210, 0.448)
Ho (0.991, 0.932, 0.251)
Nb (0.491, 0.992, 0.510)
Nb (0.006, 0.475, 0.991)
Ti (0.006, 0.473, 0.495)
Ti (0.486, 0.981, 0.008)

Calculated values
Its space group is P1 (1). The value obtained for the size of the total moment is 0.0000 μB per atom. As for the raw formation energy: -2724 meV per atom.

---

What did we get for VASP energy? Answer: -8.357, -8.669, -6.108, -5.049, -6.451, -4.245, -5.471, -7.135, -4.293, -7.922 eV per atom, in the order shown.